A plane-wave DFT calculation with PBE-GGA was carried out for a relaxed SeIN2F crystal.

total moment	5.1	μB per formula unit
E_form (uncorrected)	2032	meV/atom
calculated total energy	-13.4	eV per cell

Cell lengths 4.897, 4.897, 4.135 Å; angles 90.00, 90.00, 90.00 degrees
Positions (direct):
Se 0.000 0.000 0.000
I 0.500 0.500 0.000
N 0.000 0.500 0.500
N 0.500 0.000 0.500
F 0.000 0.000 0.500